# ScPt

Crystalline ScPt at its relaxed geometry (GGA-PBE, Alexandria via LeMat-Bulk).

a = 5.4187 Å, b = 5.4187 Å, c = 5.4274 Å
α = 90.00°, β = 90.00°, γ = 90.00°
Fractional coordinates of all 8 atoms:
Sc 0.7875 0.7875 0.5000
Sc 0.2125 0.2125 0.5000
Sc 0.2875 0.7125 0.0000
Sc 0.7125 0.2875 0.0000
Pt 0.7919 0.7919 0.0000
Pt 0.7081 0.2918 0.5000
Pt 0.2918 0.7081 0.5000
Pt 0.2082 0.2082 0.0000

## Properties
**Energy relative to the elements**: -1.000 eV/atom
**E_tot**: -57.49 eV/cell

***

# Sc2Pt

Crystalline Sc2Pt at its relaxed geometry (GGA-PBE, Alexandria via LeMat-Bulk).

a = 6.9426 Å, b = 6.9426 Å, c = 4.4419 Å
α = 90.00°, β = 90.00°, γ = 120.00°
Fractional coordinates of all 9 atoms:
Sc 0.2572 0.0000 0.0000
Sc 0.5865 0.0000 0.5000
Sc 0.4135 0.4135 0.5000
Sc 0.7428 0.7428 0.0000
Sc 0.0000 0.5865 0.5000
Sc 0.0000 0.2572 0.0000
Pt 0.6667 0.3333 0.0000
Pt 0.3333 0.6667 0.0000
Pt 0.0000 0.0000 0.5000

## Properties
**Energy relative to the elements**: -0.931 eV/atom
**E_tot**: -64.49 eV/cell

***

# ScPt3

Crystalline ScPt3 at its relaxed geometry (GGA-PBE, Alexandria via LeMat-Bulk).

a = 5.6597 Å, b = 5.6597 Å, c = 4.1077 Å
α = 90.00°, β = 90.00°, γ = 90.86°
Fractional coordinates of all 8 atoms:
Pt 0.8589 0.6248 0.2500
Pt 0.6248 0.8589 0.7500
Pt 0.3752 0.1411 0.2500
Pt 0.1411 0.3752 0.7500
Pt 0.1270 0.8730 0.7500
Pt 0.8730 0.1270 0.2500
Sc 0.6507 0.3493 0.7500
Sc 0.3493 0.6507 0.2500

## Properties
**Energy relative to the elements**: -0.894 eV/atom
**E_tot**: -56.06 eV/cell

***

# ScPt

Crystalline ScPt at its relaxed geometry (GGA-PBE, Alexandria via LeMat-Bulk).

a = 5.1684 Å, b = 5.4134 Å, c = 10.7091 Å
α = 90.00°, β = 90.00°, γ = 90.00°
Fractional coordinates of all 16 atoms:
Sc 0.8364 0.6405 0.6931
Sc 0.3364 0.8595 0.3069
Sc 0.6636 0.3595 0.1931
Sc 0.1636 0.1405 0.8069
Sc 0.3324 0.4228 0.5239
Sc 0.8324 0.0772 0.4761
Sc 0.6676 0.9228 0.9761
Sc 0.1676 0.5772 0.0239
Pt 0.1893 0.0748 0.0579
Pt 0.3107 0.9252 0.5579
Pt 0.6647 0.1306 0.7262
Pt 0.6893 0.4252 0.9421
Pt 0.8353 0.8694 0.2262
Pt 0.8107 0.5748 0.4421
Pt 0.3353 0.6306 0.7738
Pt 0.1647 0.3694 0.2738

## Properties
**Energy relative to the elements**: -1.176 eV/atom
**E_tot**: -117.80 eV/cell

***

# ScPt2

Crystalline ScPt2 at its relaxed geometry (GGA-PBE, Alexandria via LeMat-Bulk).

a = 9.9314 Å, b = 9.9314 Å, c = 9.9314 Å
α = 160.22°, β = 160.22°, γ = 28.12°
Fractional coordinates of all 6 atoms:
Sc 0.0000 0.0000 0.0000
Sc 0.7500 0.2500 0.5000
Pt 0.3214 0.8214 0.5000
Pt 0.5714 0.5714 0.0000
Pt 0.1786 0.6786 0.5000
Pt 0.4286 0.4286 0.0000

## Properties
**Energy relative to the elements**: -0.865 eV/atom
**E_tot**: -42.02 eV/cell

***

# Sc3Pt4

Crystalline Sc3Pt4 at its relaxed geometry (GGA-PBE, Alexandria via LeMat-Bulk).

a = 7.4139 Å, b = 7.4139 Å, c = 7.4139 Å
α = 113.95°, β = 113.95°, γ = 113.95°
Fractional coordinates of all 14 atoms:
Sc 0.4880 0.2301 0.0984
Sc 0.5120 0.7699 0.9016
Sc 0.7699 0.9016 0.5120
Sc 0.0984 0.4880 0.2301
Sc 0.9016 0.5120 0.7699
Sc 0.2301 0.0984 0.4880
Pt 0.5000 0.5000 0.5000
Pt 0.5740 0.0486 0.7379
Pt 0.7379 0.5740 0.0486
Pt 0.0000 0.0000 0.0000
Pt 0.4260 0.9514 0.2621
Pt 0.0486 0.7379 0.5740
Pt 0.9514 0.2621 0.4260
Pt 0.2621 0.4260 0.9514

## Properties
**Energy relative to the elements**: -1.208 eV/atom
**E_tot**: -103.23 eV/cell

***

# Sc4Pt3

Crystalline Sc4Pt3 at its relaxed geometry (GGA-PBE, Alexandria via LeMat-Bulk).

a = 5.4337 Å, b = 5.4337 Å, c = 5.1406 Å
α = 90.00°, β = 90.00°, γ = 120.00°
Fractional coordinates of all 7 atoms:
Sc 0.6667 0.3333 0.5000
Sc 0.0000 0.0000 0.2408
Sc 0.3333 0.6667 0.5000
Sc 0.0000 0.0000 0.7592
Pt 0.5000 0.0000 0.0000
Pt 0.0000 0.5000 0.0000
Pt 0.5000 0.5000 0.0000

## Properties
**Energy relative to the elements**: -0.827 eV/atom
**E_tot**: -49.24 eV/cell

***

# Sc2Pt

Crystalline Sc2Pt at its relaxed geometry (GGA-PBE, Alexandria via LeMat-Bulk).

a = 5.9670 Å, b = 5.9670 Å, c = 6.3194 Å
α = 90.01°, β = 90.01°, γ = 34.62°
Fractional coordinates of all 6 atoms:
Sc 0.6158 0.6158 0.2089
Sc 0.6620 0.6620 0.7089
Sc 0.9337 0.9337 0.5255
Sc 0.3440 0.3440 0.0253
Pt 0.2592 0.2592 0.4324
Pt 0.0186 0.0186 0.9324

## Properties
**Energy relative to the elements**: -0.871 eV/atom
**E_tot**: -42.63 eV/cell

***

# ScPt

Crystalline ScPt at its relaxed geometry (GGA-PBE, Alexandria via LeMat-Bulk).

a = 8.2483 Å, b = 3.6304 Å, c = 3.6304 Å
α = 60.00°, β = 102.71°, γ = 102.71°
Fractional coordinates of all 4 atoms:
Pt 0.7603 0.2534 0.2534
Pt 0.9897 0.9966 0.9966
Sc 0.1798 0.7266 0.7266
Sc 0.5702 0.5234 0.5234

## Properties
**Energy relative to the elements**: -0.555 eV/atom
**E_tot**: -26.96 eV/cell

***

# Sc2Pt

Crystalline Sc2Pt at its relaxed geometry (GGA-PBE, Alexandria via LeMat-Bulk).

a = 4.5108 Å, b = 4.5108 Å, c = 3.3475 Å
α = 90.00°, β = 90.00°, γ = 120.00°
Fractional coordinates of all 3 atoms:
Sc 0.3333 0.6667 0.2863
Sc 0.6667 0.3333 0.7137
Pt 0.0000 0.0000 0.0000

## Properties
**Energy relative to the elements**: -0.711 eV/atom
**E_tot**: -20.84 eV/cell

***

# ScPt2

Crystalline ScPt2 at its relaxed geometry (GGA-PBE, Alexandria via LeMat-Bulk).

a = 4.3562 Å, b = 4.3562 Å, c = 4.3562 Å
α = 60.00°, β = 60.00°, γ = 60.00°
Fractional coordinates of all 3 atoms:
Sc 0.0000 0.0000 0.0000
Pt 0.2500 0.2500 0.2500
Pt 0.7500 0.7500 0.7500

## Properties
**Energy relative to the elements**: -0.725 eV/atom
**E_tot**: -20.59 eV/cell

***

# ScPt

Crystalline ScPt at its relaxed geometry (GGA-PBE, Alexandria via LeMat-Bulk).

a = 3.8063 Å, b = 3.8063 Å, c = 3.2721 Å
α = 90.00°, β = 90.00°, γ = 120.00°
Fractional coordinates of all 2 atoms:
Sc 0.3333 0.6667 0.5000
Pt 0.0000 0.0000 0.0000

## Properties
**Energy relative to the elements**: -1.003 eV/atom
**E_tot**: -14.38 eV/cell

***

Question: Look up the E_tot of the eleventh one.
Answer: -20.59 eV/cell

***

Question: The highest energy relative to the elements belongs to which entry?
Answer: number 9

***

Please write out number 9 again, unchanged.
# ScPt

Crystalline ScPt at its relaxed geometry (GGA-PBE, Alexandria via LeMat-Bulk).

a = 8.2483 Å, b = 3.6304 Å, c = 3.6304 Å
α = 60.00°, β = 102.71°, γ = 102.71°
Fractional coordinates of all 4 atoms:
Pt 0.7603 0.2534 0.2534
Pt 0.9897 0.9966 0.9966
Sc 0.1798 0.7266 0.7266
Sc 0.5702 0.5234 0.5234

## Properties
**Energy relative to the elements**: -0.555 eV/atom
**E_tot**: -26.96 eV/cell

***

Please write out number 1 again, unchanged.
# ScPt

Crystalline ScPt at its relaxed geometry (GGA-PBE, Alexandria via LeMat-Bulk).

a = 5.4187 Å, b = 5.4187 Å, c = 5.4274 Å
α = 90.00°, β = 90.00°, γ = 90.00°
Fractional coordinates of all 8 atoms:
Sc 0.7875 0.7875 0.5000
Sc 0.2125 0.2125 0.5000
Sc 0.2875 0.7125 0.0000
Sc 0.7125 0.2875 0.0000
Pt 0.7919 0.7919 0.0000
Pt 0.7081 0.2918 0.5000
Pt 0.2918 0.7081 0.5000
Pt 0.2082 0.2082 0.0000

## Properties
**Energy relative to the elements**: -1.000 eV/atom
**E_tot**: -57.49 eV/cell